# BaMgTe2 | Alexandria via LeMat-Bulk | meta-GGA SCAN | single point on PBEsol structure
# Space group: F-43m, No. 216
# Volume (Å³ per atom): 31.0
# Raw formation energy (eV per atom): -0.52
data_BaMgTe2
_chemical_formula_sum 'Ba1 Mg1 Te2'
_space_group_name_H-M_alt 'P 1'
_space_group_IT_number 1
_cell_length_a 5.596
_cell_length_b 5.596
_cell_length_c 5.596
_cell_angle_alpha 60.00
_cell_angle_beta 60.00
_cell_angle_gamma 60.00
loop_
_space_group_symop_operation_xyz
'x,y,z'
loop_
_atom_site_label
_atom_site_fract_x
_atom_site_fract_y
_atom_site_fract_z
_atom_site_occupancy
Ba1 0.500 0.500 0.500 1
Mg1 0.250 0.250 0.250 1
Te1 0.000 0.000 0.000 1
Te2 0.750 0.750 0.750 1